Entry from the Alexandria database: Rb2YVO after structural relaxation (GGA+U).

The structure in POSCAR format:
```
Rb2YVO
1.0
-2.777 1.164 -5.904
-0.258 -4.242 -0.715
-6.005 -0.108 2.803
V Rb O Y
1 2 1 1
Direct
0.500 0.500 0.500
0.000 0.000 0.500
0.500 0.000 0.000
0.000 0.000 0.000
0.000 0.500 0.000
```

Summary:
The symmetry is P4/mmm (123). As for the volume: 37.85 A^3/atom. As for the raw total energy: -21.2 eV/cell.